# Y2ZrGaH, relaxed, DFT GGA-PBE
data_Y2ZrGaH
_cell_length_a 4.6875
_cell_length_b 4.6875
_cell_length_c 4.5033
_cell_angle_alpha 90.00
_cell_angle_beta 90.00
_cell_angle_gamma 90.00
_symmetry_space_group_name_H-M 'P 4/m m m'
_symmetry_Int_Tables_number 123
_symmetry_space_group_name_Hall '-P 4 2'
loop_
_atom_site_label
_atom_site_type_symbol
_atom_site_fract_x
_atom_site_fract_y
_atom_site_fract_z
Y1 Y 0.0000 0.5000 0.0000
Zr1 Zr 0.0000 0.0000 0.5000
Ga1 Ga 0.5000 0.5000 0.5000
H1 H 0.0000 0.0000 0.0000
# VASP energy = -0.216 Ha/atom
# magnetization = 0.0 μB/f.u.